No. 1
! Sr3TaGe, optimized geometry, DFT PBE; values from VASP
&SYSTEM
  ibrav = 0, nat = 5, ntyp = 3
/
ATOMIC_SPECIES
Sr 87.62 Sr.upf
Ta 180.95 Ta.upf
Ge 72.64 Ge.upf
CELL_PARAMETERS angstrom
5.9808 0.0000 0.0000
0.0000 5.9808 0.0000
0.0000 0.0000 5.9808
ATOMIC_POSITIONS crystal
Sr 0.5000 0.0000 0.0000
Sr 0.0000 0.5000 0.0000
Sr 0.0000 0.0000 0.5000
Ta 0.5000 0.5000 0.5000
Ge 0.0000 0.0000 0.0000
! Theoretical density ... 4.01 Mg/m³
! Space-group type ... Pm-3m (221)
! E_form ... 0.814 eV/atom
! Relative energy among the computed polymorphs ... 0 meV/atom
! Calculated total energy ... -3.49 eV/atom
! Magnetization ... 4.9 μB per formula unit

=====

No. 2
! Sr3TaGe, optimized geometry, DFT PBE; values from VASP
&SYSTEM
  ibrav = 0, nat = 5, ntyp = 3
/
ATOMIC_SPECIES
Sr 87.62 Sr.upf
Ge 72.64 Ge.upf
Ta 180.95 Ta.upf
CELL_PARAMETERS angstrom
-2.8307 -4.4744 -2.4771
4.3934 -3.5768 1.4401
-2.6180 -1.1644 5.0950
ATOMIC_POSITIONS crystal
Sr 0.0000 0.0000 0.5000
Sr 0.0000 0.5000 0.0000
Sr 0.5000 0.0000 0.0000
Ge 0.5000 0.5000 0.5000
Ta 0.0000 0.0000 0.0000
! Theoretical density ... 4.29 Mg/m³
! Space-group type ... Pm-3m (221)
! E_form ... 1.125 eV/atom
! Relative energy among the computed polymorphs ... 311 meV/atom
! Calculated total energy ... -3.18 eV/atom
! Magnetization ... 0.0 μB per formula unit

=====

No. 3
! Sr2TaGe, optimized geometry, DFT PBE; values from VASP
&SYSTEM
  ibrav = 0, nat = 8, ntyp = 3
/
ATOMIC_SPECIES
Sr 87.62 Sr.upf
Ge 72.64 Ge.upf
Ta 180.95 Ta.upf
CELL_PARAMETERS angstrom
11.3598 0.0000 0.0000
0.0000 11.3598 0.0000
5.6799 5.6799 2.5316
ATOMIC_POSITIONS crystal
Sr 0.3750 0.5311 0.7500
Sr 0.8750 0.7189 0.7500
Sr 0.2811 0.6250 0.2500
Sr 0.4689 0.1250 0.2500
Ge 0.2500 0.7500 0.5000
Ge 0.5000 0.5000 0.0000
Ta 0.0000 0.0000 0.0000
Ta 0.7500 0.2500 0.5000
! Theoretical density ... 4.36 Mg/m³
! Space-group type ... I-42d (122)
! E_form ... 0.599 eV/atom
! Calculated total energy ... -4.36 eV/atom
! Magnetization ... 3.0 μB per formula unit